{"formula": "AcNd12Tm6", "functional": "PBE-GGA", "state": "relaxed", "lattice": [[-8.636, -1.877, -0.938], [1.001, -2.097, 8.578], [-0.524, 8.841, 0.735]], "species": ["Ac", "Nd", "Nd", "Nd", "Nd", "Nd", "Nd", "Nd", "Nd", "Nd", "Nd", "Nd", "Nd", "Tm", "Tm", "Tm", "Tm", "Tm", "Tm"], "fractional_positions": [[0.000, 0.000, 0.000], [0.759, 0.241, 0.500], [0.353, 0.080, 0.353], [0.353, 0.353, 0.080], [0.920, 0.647, 0.647], [0.647, 0.647, 0.920], [0.647, 0.920, 0.647], [0.500, 0.759, 0.241], [0.241, 0.500, 0.759], [0.241, 0.759, 0.500], [0.500, 0.241, 0.759], [0.759, 0.500, 0.241], [0.080, 0.353, 0.353], [0.896, 0.341, 0.896], [0.896, 0.896, 0.341], [0.341, 0.896, 0.896], [0.104, 0.104, 0.659], [0.104, 0.659, 0.104], [0.659, 0.104, 0.104]], "formation_enthalpy_0k_ev_per_fu": 3.6, "m_tot_mub_per_atom": 0.000, "final_energy_ry_per_atom": -0.327}


{"formula": "AcNd7Tm2", "functional": "PBE-GGA", "state": "relaxed", "lattice": [[-3.017, 3.504, 3.158], [-6.570, -3.125, -2.810], [1.780, -2.272, 9.172]], "species": ["Ac", "Nd", "Nd", "Nd", "Nd", "Nd", "Nd", "Nd", "Tm", "Tm"], "fractional_positions": [[0.000, 0.000, 0.000], [0.841, 0.659, 0.318], [0.159, 0.341, 0.682], [0.633, 0.666, 0.735], [0.367, 0.334, 0.265], [0.367, 0.932, 0.264], [0.633, 0.068, 0.736], [0.500, 0.500, 0.000], [0.215, 0.786, 0.570], [0.785, 0.214, 0.430]], "formation_enthalpy_0k_ev_per_fu": 1.7, "m_tot_mub_per_atom": 0.000, "final_energy_ry_per_atom": -0.329}


{"formula": "Ac4Nd5Tm2", "functional": "PBE-GGA", "state": "relaxed", "lattice": [[5.232, 0.000, -1.135], [-0.745, 7.542, -3.433], [-0.309, -1.408, 11.201]], "species": ["Ac", "Ac", "Ac", "Ac", "Nd", "Nd", "Nd", "Nd", "Nd", "Tm", "Tm"], "fractional_positions": [[0.318, 0.542, 0.636], [0.043, 0.359, 0.087], [0.682, 0.458, 0.364], [0.957, 0.641, 0.913], [0.774, 0.172, 0.547], [0.226, 0.828, 0.453], [0.862, 0.915, 0.725], [0.500, 0.000, 0.000], [0.138, 0.085, 0.275], [0.409, 0.267, 0.817], [0.591, 0.733, 0.183]], "formation_enthalpy_0k_ev_per_fu": 0.5, "m_tot_mub_per_atom": 0.000, "final_energy_ry_per_atom": -0.326}


{"formula": "AcNd15Tm4", "functional": "PBE-GGA", "state": "relaxed", "lattice": [[-2.978, 3.186, -2.789], [-3.424, 0.194, 3.878], [12.422, 20.322, 9.954]], "species": ["Ac", "Nd", "Nd", "Nd", "Nd", "Nd", "Nd", "Nd", "Nd", "Nd", "Nd", "Nd", "Nd", "Nd", "Nd", "Nd", "Tm", "Tm", "Tm", "Tm"], "fractional_positions": [[0.000, 0.000, 0.000], [0.500, 0.500, 0.000], [0.500, 0.500, 0.205], [0.500, 0.500, 0.402], [0.500, 0.500, 0.598], [0.500, 0.500, 0.795], [0.500, 0.000, 0.106], [0.500, 0.000, 0.303], [0.500, 0.000, 0.500], [0.500, 0.000, 0.697], [0.500, 0.000, 0.894], [0.000, 0.500, 0.106], [0.000, 0.500, 0.303], [0.000, 0.500, 0.500], [0.000, 0.500, 0.697], [0.000, 0.500, 0.894], [0.000, 0.000, 0.204], [0.000, 0.000, 0.402], [0.000, 0.000, 0.598], [0.000, 0.000, 0.796]], "formation_enthalpy_0k_ev_per_fu": 0.4, "m_tot_mub_per_atom": 0.000, "final_energy_ry_per_atom": -0.342}


{"formula": "Ac5Nd2Tm2", "functional": "PBE-GGA", "state": "relaxed", "lattice": [[5.965, 1.401, 2.388], [0.959, 7.845, 4.943], [0.768, 4.324, 10.545]], "species": ["Ac", "Ac", "Ac", "Ac", "Ac", "Nd", "Nd", "Tm", "Tm"], "fractional_positions": [[0.991, 0.668, 0.665], [0.664, 0.881, 0.892], [0.336, 0.119, 0.108], [0.009, 0.332, 0.335], [0.000, 0.000, 0.000], [0.660, 0.567, 0.550], [0.340, 0.433, 0.450], [0.342, 0.781, 0.770], [0.658, 0.219, 0.230]], "formation_enthalpy_0k_ev_per_fu": 0.5, "m_tot_mub_per_atom": 0.000, "final_energy_ry_per_atom": -0.314}


{"formula": "Ac2Nd3Tm", "functional": "PBE-GGA", "state": "relaxed", "lattice": [[-2.657, -1.398, -4.400], [1.027, -11.380, 2.996], [-5.122, 4.489, 4.891]], "species": ["Ac", "Ac", "Ac", "Ac", "Nd", "Nd", "Nd", "Nd", "Nd", "Nd", "Tm", "Tm"], "fractional_positions": [[0.536, 0.869, 0.072], [0.464, 0.131, 0.928], [0.209, 0.869, 0.417], [0.791, 0.131, 0.583], [0.047, 0.382, 0.093], [0.953, 0.618, 0.907], [0.709, 0.378, 0.419], [0.291, 0.622, 0.581], [0.625, 0.620, 0.250], [0.375, 0.380, 0.750], [0.126, 0.130, 0.252], [0.874, 0.870, 0.748]], "formation_enthalpy_0k_ev_per_fu": 0.2, "m_tot_mub_per_atom": 0.000, "final_energy_ry_per_atom": -0.328}


{"formula": "Ac2Nd6Tm3", "functional": "PBE-GGA", "state": "relaxed", "lattice": [[-2.156, -0.473, 4.149], [2.538, -0.385, 3.937], [-0.180, 21.817, 5.055]], "species": ["Ac", "Ac", "Nd", "Nd", "Nd", "Nd", "Nd", "Nd", "Tm", "Tm", "Tm"], "fractional_positions": [[0.556, 0.556, 0.331], [0.444, 0.444, 0.669], [0.928, 0.928, 0.215], [0.072, 0.072, 0.785], [0.816, 0.816, 0.551], [0.184, 0.184, 0.449], [0.644, 0.644, 0.067], [0.356, 0.356, 0.933], [0.000, 0.000, 0.000], [0.710, 0.710, 0.870], [0.290, 0.290, 0.130]], "formation_enthalpy_0k_ev_per_fu": 6.9, "m_tot_mub_per_atom": 0.203, "final_energy_ry_per_atom": -0.289}


{"formula": "AcNdTm14", "functional": "PBE-GGA", "state": "relaxed", "lattice": [[7.198, -0.093, 0.000], [-3.502, 6.289, 0.000], [0.000, 0.000, 11.205]], "species": ["Ac", "Nd", "Tm", "Tm", "Tm", "Tm", "Tm", "Tm", "Tm", "Tm", "Tm", "Tm", "Tm", "Tm", "Tm", "Tm"], "fractional_positions": [[0.165, 0.835, 0.000], [0.665, 0.335, 0.000], [0.667, 0.333, 0.500], [0.167, 0.833, 0.500], [0.168, 0.334, 0.000], [0.166, 0.333, 0.500], [0.666, 0.832, 0.000], [0.667, 0.834, 0.500], [0.334, 0.169, 0.742], [0.334, 0.169, 0.258], [0.831, 0.666, 0.742], [0.831, 0.666, 0.258], [0.834, 0.166, 0.748], [0.834, 0.166, 0.252], [0.335, 0.665, 0.745], [0.335, 0.665, 0.255]], "formation_enthalpy_0k_ev_per_fu": 0.3, "m_tot_mub_per_atom": 0.000, "final_energy_ry_per_atom": -0.327}


Question: Which formula does entry 3 have?
Answer: Ac4Nd5Tm2